# Na3SrCu, optimized geometry, DFT PBE
# calculated formation energy	1035	meV per atom
# relative energy among the computed polymorphs	800	meV per atom
# DOS at the Fermi energy	7.752	states/eV per cell
# size of the total moment	0.0	μB per formula unit
data_Na3SrCu
_symmetry_space_group_name_H-M 'P 1'
_symmetry_Int_Tables_number 1
_cell_length_a 6.826
_cell_length_b 6.826
_cell_length_c 6.826
_cell_angle_alpha 90.00
_cell_angle_beta 90.00
_cell_angle_gamma 90.00
loop_
_symmetry_equiv_pos_as_xyz
'x,y,z'
loop_
_atom_site_label
_atom_site_type_symbol
_atom_site_fract_x
_atom_site_fract_y
_atom_site_fract_z
Na1 Na 0.000 0.000 0.500
Na2 Na 0.500 0.000 0.000
Cu1 Cu 0.500 0.500 0.500
Sr1 Sr 0.000 0.000 0.000
Na3 Na 0.000 0.500 0.000